The following is a GGA+U calculation of K2PWO6 after structural relaxation, from the Alexandria database.

Unit cell a=5.3813 b=5.3813 c=5.3813 alpha=120.09 beta=120.09 gamma=89.85
Element x y z (fractional)
K 0.2500 0.7500 0.5000
K 0.7500 0.2500 0.5000
P 0.0000 0.0000 0.0000
W 0.5000 0.5000 0.0000
O 0.2250 0.2250 0.4500
O 0.2250 0.7750 0.0000
O 0.2453 0.2453 0.0000
O 0.7547 0.7547 0.0000
O 0.7750 0.2250 0.0000
O 0.7750 0.7750 0.5500

Summary:
Final energy   -0.45580 Ry per atom
Theoretical density   5.87 g cm⁻³
Space group   I4/mmm